Computed, not measured: a relaxed structure of Mg3Hg13 at the PBE level of DFT.

The structure in CIF format:
```
data_Mg3Hg13
_chemical_formula_sum 'Mg3 Hg13'
_cell_length_a 7.6722
_cell_length_b 7.2784
_cell_length_c 7.2784
_cell_angle_alpha 100.17
_cell_angle_beta 90.00
_cell_angle_gamma 90.00
_symmetry_space_group_name_H-M 'P 1'
_symmetry_Int_Tables_number 1
loop_
_symmetry_equiv_pos_as_xyz
'x,y,z'
loop_
_atom_site_label
_atom_site_fract_x
_atom_site_fract_y
_atom_site_fract_z
_atom_site_occupancy
Hg1 0.7648 0.9803 0.5273 1
Hg2 0.2352 0.9803 0.5273 1
Hg3 0.0000 0.7334 0.7565 1
Hg4 0.5000 0.2492 0.7508 1
Hg5 0.0000 0.2435 0.2666 1
Mg1 0.2288 0.0417 0.9583 1
Hg6 0.7648 0.4727 0.0197 1
Hg7 0.5000 0.7571 0.8190 1
Hg8 0.5000 0.1810 0.2429 1
Hg9 0.7198 0.5009 0.4991 1
Hg10 0.0000 0.7956 0.2044 1
Mg2 0.0000 0.3052 0.6948 1
Hg11 0.2352 0.4727 0.0197 1
Hg12 0.5000 0.7436 0.2564 1
Hg13 0.2802 0.5009 0.4991 1
Mg3 0.7712 0.0417 0.9583 1
```

- space-group type = Amm2 (38)
- energy relative to the elements (eV/atom) = -0.04
- E (eV for the cell shown) = -9.32
- crystal system = orthorhombic


Computed, not measured: a relaxed structure of CsK2SbCl8 at the PBE level of DFT.

The structure in CIF format:
```
data_CsK2SbCl8
_chemical_formula_sum 'Cs1 K2 Sb1 Cl8'
_cell_length_a 6.1455
_cell_length_b 7.4067
_cell_length_c 9.8264
_cell_angle_alpha 88.70
_cell_angle_beta 82.32
_cell_angle_gamma 104.62
_symmetry_space_group_name_H-M 'P 1'
_symmetry_Int_Tables_number 1
loop_
_symmetry_equiv_pos_as_xyz
'x,y,z'
loop_
_atom_site_label
_atom_site_fract_x
_atom_site_fract_y
_atom_site_fract_z
_atom_site_occupancy
K1 0.5057 0.4347 0.7325 1
Cl1 0.4064 0.7259 0.5455 1
Cl2 0.8055 0.1243 0.1895 1
Cl3 0.5936 0.2741 0.4545 1
Cl4 0.0556 0.7640 0.1660 1
Cl5 0.1945 0.8757 0.8105 1
Cl6 0.9444 0.2360 0.8340 1
Cl7 0.6433 0.7805 0.9638 1
Cs1 0.0000 0.0000 0.5000 1
Cl8 0.3567 0.2195 0.0362 1
Sb1 0.0000 0.0000 0.0000 1
K2 0.4943 0.5653 0.2675 1
```

- space-group type = P-1 (2)
- E (eV for the cell shown) = -37.58
- crystal system = triclinic
- energy relative to the elements, uncorrected (kcal/mol of atoms) = -30.04


Computed, not measured: a relaxed structure of K2ZrRh at the PBE level of DFT.

The structure in CIF format:
```
data_K2ZrRh
_chemical_formula_sum 'K2 Zr1 Rh1'
_cell_length_a 2.9874
_cell_length_b 2.9874
_cell_length_c 12.1474
_cell_angle_alpha 90.00
_cell_angle_beta 90.00
_cell_angle_gamma 90.00
_symmetry_space_group_name_H-M 'P 1'
_symmetry_Int_Tables_number 1
loop_
_symmetry_equiv_pos_as_xyz
'x,y,z'
loop_
_atom_site_label
_atom_site_fract_x
_atom_site_fract_y
_atom_site_fract_z
_atom_site_occupancy
Rh1 0.5000 0.5000 0.2500 1
Zr1 0.5000 0.5000 0.7500 1
K1 0.0000 0.0000 0.4556 1
K2 0.0000 0.0000 0.0444 1
```

- space-group type = P4/mmm (123)
- energy relative to the elements (eV/atom) = 0.89
- E (eV for the cell shown) = -14.53
- crystal system = tetragonal


Computed, not measured: a relaxed structure of Ba2Na4Sr3 at the PBE level of DFT.

The structure in CIF format:
```
data_Ba2Na4Sr3
_chemical_formula_sum 'Ba2 Na4 Sr3'
_cell_length_a 6.5282
_cell_length_b 6.5492
_cell_length_c 12.1408
_cell_angle_alpha 89.75
_cell_angle_beta 90.02
_cell_angle_gamma 60.02
_symmetry_space_group_name_H-M 'P 1'
_symmetry_Int_Tables_number 1
loop_
_symmetry_equiv_pos_as_xyz
'x,y,z'
loop_
_atom_site_label
_atom_site_fract_x
_atom_site_fract_y
_atom_site_fract_z
_atom_site_occupancy
Na1 0.9989 0.0017 0.6500 1
Sr1 0.6664 0.6669 0.5762 1
Sr2 0.0000 0.0000 0.0000 1
Na2 0.3348 0.3323 0.1021 1
Ba1 0.6675 0.6658 0.2176 1
Na3 0.0011 0.9983 0.3500 1
Na4 0.6652 0.6677 0.8979 1
Sr3 0.3336 0.3331 0.4238 1
Ba2 0.3325 0.3342 0.7824 1
```

- space-group type = P-1 (2)
- energy relative to the elements (eV/atom) = 0.02
- E (eV for the cell shown) = -14.01
- crystal system = triclinic